{
  "formula": "SmAgPbS3",
  "functional": "GGA-PBE",
  "state": "optimized geometry",
  "dft_energy_ev_per_atom": -4.9492,
  "sg": "Cmcm, No. 63",
  "relative_energy_mev_per_atom": 20.3,
  "crystal_system": "orthorhombic",
  "lattice_angstrom": [[-3.114, -0.504, -2.581], [-4.513, -4.280, 3.062], [-4.926, 8.287, 4.324]],
  "species": ["Sm", "S", "S", "S", "Ag", "Sm", "Pb", "S", "S", "Ag", "Pb", "S"],
  "fractional_positions": [[0.000, 0.000, 0.500], [0.359, 0.282, 0.941], [0.641, 0.718, 0.059], [0.910, 0.180, 0.250], [0.530, 0.940, 0.250], [0.000, 0.000, 0.000], [0.246, 0.508, 0.250], [0.641, 0.718, 0.441], [0.359, 0.282, 0.559], [0.470, 0.060, 0.750], [0.754, 0.492, 0.750], [0.090, 0.820, 0.750]]
}

{
  "formula": "SmAgPbS3",
  "functional": "GGA-PBE",
  "state": "optimized geometry",
  "dft_energy_ev_per_atom": -4.9485,
  "sg": "Pnma, No. 62",
  "relative_energy_mev_per_atom": 20.9,
  "crystal_system": "orthorhombic",
  "lattice_angstrom": [[-1.143, 9.885, 8.768], [1.147, -2.523, 2.993], [10.296, 2.684, -1.684]],
  "species": ["S", "S", "Sm", "Pb", "Pb", "S", "Ag", "S", "S", "S", "Sm", "Pb", "Ag", "S", "Sm", "S", "Pb", "Sm", "Ag", "S", "S", "Ag", "S", "S"],
  "fractional_positions": [[0.885, 0.250, 0.377], [0.615, 0.750, 0.877], [0.517, 0.250, 0.329], [0.769, 0.750, 0.532], [0.269, 0.750, 0.968], [0.648, 0.750, 0.253], [0.991, 0.250, 0.592], [0.148, 0.750, 0.247], [0.852, 0.250, 0.753], [0.107, 0.250, 0.935], [0.983, 0.750, 0.829], [0.731, 0.250, 0.032], [0.509, 0.750, 0.092], [0.893, 0.750, 0.065], [0.017, 0.250, 0.171], [0.352, 0.250, 0.747], [0.231, 0.250, 0.468], [0.483, 0.750, 0.671], [0.009, 0.750, 0.408], [0.607, 0.250, 0.565], [0.385, 0.250, 0.123], [0.491, 0.250, 0.908], [0.393, 0.750, 0.435], [0.115, 0.750, 0.623]]
}